# TmCoGeRu GGA-PBE relaxed
# Total energy in eV/atom: -6.724
# SG: F-43m, No. 216
# Fermi-level density of states in states/eV/cell: 0.90
# Formation enthalpy at 0 K in eV per atom: -0.36
data_TmCoGeRu
_chemical_formula_sum 'Tm1 Co1 Ge1 Ru1'
_symmetry_space_group_name_H-M 'P 1'
_symmetry_Int_Tables_number 1
_cell_length_a 4.421
_cell_length_b 4.421
_cell_length_c 4.421
_cell_angle_alpha 60.00
_cell_angle_beta 60.00
_cell_angle_gamma 60.00
loop_
_symmetry_equiv_pos_as_xyz
'x,y,z'
loop_
_atom_site_label
_atom_site_type_symbol
_atom_site_fract_x
_atom_site_fract_y
_atom_site_fract_z
_atom_site_occupancy
Ru1 Ru 0.750 0.750 0.750 1
Ge1 Ge 0.000 0.000 0.000 1
Co1 Co 0.250 0.250 0.250 1
Tm1 Tm 0.500 0.500 0.500 1

# YNiW4 GGA-PBE relaxed
# Total energy in eV/atom: -10.166
# SG: F-43m, No. 216
# Fermi-level density of states in states/eV/cell: 7.23
# Formation enthalpy at 0 K in eV per atom: 0.51
data_YNiW4
_chemical_formula_sum 'Y1 Ni1 W4'
_symmetry_space_group_name_H-M 'P 1'
_symmetry_Int_Tables_number 1
_cell_length_a 5.380
_cell_length_b 5.380
_cell_length_c 5.380
_cell_angle_alpha 60.00
_cell_angle_beta 60.00
_cell_angle_gamma 60.00
loop_
_symmetry_equiv_pos_as_xyz
'x,y,z'
loop_
_atom_site_label
_atom_site_type_symbol
_atom_site_fract_x
_atom_site_fract_y
_atom_site_fract_z
_atom_site_occupancy
W1 W 0.376 0.376 0.376 1
W2 W 0.376 0.376 0.873 1
W3 W 0.873 0.376 0.376 1
W4 W 0.376 0.873 0.376 1
Ni1 Ni 0.000 0.000 0.000 1
Y1 Y 0.750 0.750 0.750 1

# PmAgSbTe3 GGA-PBE relaxed
# Total energy in eV/atom: -4.029
# SG: P2_1/m, No. 11
# Fermi-level density of states in states/eV/cell: 4.37
data_PmAgSbTe3
_chemical_formula_sum 'Pm2 Ag2 Sb2 Te6'
_symmetry_space_group_name_H-M 'P 1'
_symmetry_Int_Tables_number 1
_cell_length_a 4.230
_cell_length_b 8.586
_cell_length_c 10.457
_cell_angle_alpha 104.52
_cell_angle_beta 90.00
_cell_angle_gamma 90.00
loop_
_symmetry_equiv_pos_as_xyz
'x,y,z'
loop_
_atom_site_label
_atom_site_type_symbol
_atom_site_fract_x
_atom_site_fract_y
_atom_site_fract_z
_atom_site_occupancy
Te1 Te 0.250 0.742 0.528 1
Te2 Te 0.250 0.093 0.905 1
Te3 Te 0.250 0.579 0.850 1
Te4 Te 0.750 0.258 0.472 1
Te5 Te 0.750 0.421 0.150 1
Te6 Te 0.750 0.907 0.095 1
Pm1 Pm 0.750 0.816 0.758 1
Pm2 Pm 0.250 0.184 0.242 1
Ag1 Ag 0.250 0.090 0.588 1
Ag2 Ag 0.750 0.910 0.412 1
Sb1 Sb 0.750 0.312 0.827 1
Sb2 Sb 0.250 0.688 0.173 1

# Mn2VRuCl GGA-PBE relaxed
# Total energy in eV/atom: -6.858
# SG: P4/mmm, No. 123
# Fermi-level density of states in states/eV/cell: 4.25
data_Mn2VRuCl
_chemical_formula_sum 'Mn2 V1 Ru1 Cl1'
_symmetry_space_group_name_H-M 'P 1'
_symmetry_Int_Tables_number 1
_cell_length_a 4.950
_cell_length_b 4.497
_cell_length_c 4.950
_cell_angle_alpha 90.00
_cell_angle_beta 90.00
_cell_angle_gamma 90.00
loop_
_symmetry_equiv_pos_as_xyz
'x,y,z'
loop_
_atom_site_label
_atom_site_type_symbol
_atom_site_fract_x
_atom_site_fract_y
_atom_site_fract_z
_atom_site_occupancy
Mn1 Mn 0.500 0.000 0.000 1
Mn2 Mn 0.000 0.000 0.500 1
Cl1 Cl 0.500 0.500 0.500 1
V1 V 0.000 0.500 0.000 1
Ru1 Ru 0.000 0.000 0.000 1

Q: Which formula does entry 3 have?
A: PmAgSbTe3